Entry from Alexandria: crystalline TaAgB2 at its relaxed geometry (PBE). Values from VASP.

## Properties
Distance to the lowest polymorph of the same formula = 195 meV/atom
DFT formation energy = 1036 meV/atom

```
&SYSTEM
  ibrav = 0, nat = 8, ntyp = 3
/
ATOMIC_SPECIES
B 10.81 B.upf
Ag 107.87 Ag.upf
Ta 180.95 Ta.upf
ATOMIC_POSITIONS angstrom
B 3.531 0.968 2.000
B 4.217 2.905 2.000
B 2.905 2.280 5.999
B 4.842 1.594 5.999
Ag 1.937 1.937 0.000
Ag 1.937 3.874 3.999
Ta 0.000 0.000 0.000
Ta 3.874 1.937 3.999
CELL_PARAMETERS angstrom
3.874 0.000 0.000
0.000 3.874 0.000
1.937 1.937 7.998
```

---

Entry from Alexandria: crystalline AlCu2Re at its relaxed geometry (PBE). Values from VASP.

## Properties
DFT formation energy = 61 meV/atom

```
&SYSTEM
  ibrav = 0, nat = 4, ntyp = 3
/
ATOMIC_SPECIES
Re 186.21 Re.upf
Al 26.98 Al.upf
Cu 63.55 Cu.upf
ATOMIC_POSITIONS angstrom
Re 2.491 -0.615 2.654
Al 4.792 -2.079 2.902
Cu 0.013 -0.003 0.013
Cu 2.177 -1.433 0.115
CELL_PARAMETERS angstrom
-0.042 -2.622 -0.569
1.980 0.353 -1.776
5.023 -1.241 5.352
```

---

Entry from Alexandria: crystalline BaTc2Te at its relaxed geometry (PBE). Values from VASP.

## Properties
Formation energy (no corrections) = 0.2247 eV/atom

```
&SYSTEM
  ibrav = 0, nat = 4, ntyp = 3
/
ATOMIC_SPECIES
Ba 137.33 Ba.upf
Tc 98.00 Tc.upf
Te 127.60 Te.upf
ATOMIC_POSITIONS angstrom
Ba -1.447 -9.098 1.767
Tc 0.050 -8.423 -0.964
Tc -0.371 -5.670 0.109
Te -0.482 -3.033 0.589
CELL_PARAMETERS angstrom
-1.659 -3.904 -2.076
2.303 -4.123 0.043
-2.573 -4.104 4.389
```

---

Entry from Alexandria: crystalline ScCu2Tc at its relaxed geometry (PBE). Values from VASP.

## Properties
Distance to the lowest polymorph of the same formula = 57 meV/atom
DFT formation energy = 26 meV/atom

```
&SYSTEM
  ibrav = 0, nat = 4, ntyp = 3
/
ATOMIC_SPECIES
Cu 63.55 Cu.upf
Sc 44.96 Sc.upf
Tc 98.00 Tc.upf
ATOMIC_POSITIONS angstrom
Cu 0.000 0.000 0.000
Cu 3.405 1.611 1.015
Sc 2.205 -0.816 1.395
Tc -0.230 -0.932 2.562
CELL_PARAMETERS angstrom
-1.429 -3.359 2.942
5.840 1.727 -0.152
0.970 1.495 2.182
```

---

Entry from Alexandria: crystalline SrMg9Rh2 at its relaxed geometry (PBE). Values from VASP.

## Properties
DFT formation energy = -246 meV/atom

```
&SYSTEM
  ibrav = 0, nat = 24, ntyp = 3
/
ATOMIC_SPECIES
Sr 87.62 Sr.upf
Mg 24.30 Mg.upf
Rh 102.91 Rh.upf
ATOMIC_POSITIONS angstrom
Sr 3.502 0.000 1.612
Sr 3.524 4.132 6.171
Mg 7.026 4.132 7.783
Mg 0.000 0.000 0.000
Mg 3.420 7.641 7.749
Mg 4.655 0.622 5.066
Mg 5.528 1.477 7.779
Mg 6.049 6.786 6.648
Mg 8.004 6.786 8.918
Mg 1.521 1.477 4.564
Mg 3.629 7.641 4.593
Mg 2.394 0.622 7.277
Mg 7.154 4.754 10.764
Mg 2.371 3.510 2.718
Mg 1.544 2.655 9.123
Mg 4.479 5.609 2.747
Mg 2.570 5.609 9.595
Mg 5.505 2.655 3.219
Mg 6.899 4.754 4.802
Mg 4.678 3.510 9.625
Rh 7.038 2.066 10.063
Rh 8.765 6.198 6.310
Rh 7.015 2.066 5.504
Rh 5.287 6.198 9.257
CELL_PARAMETERS angstrom
7.003 0.000 3.224
3.502 8.263 1.612
0.046 0.000 9.118
```

---

Entry from Alexandria: crystalline CsCu at its relaxed geometry (PBE). Values from VASP.

## Properties
DFT formation energy = 338 meV/atom

```
&SYSTEM
  ibrav = 0, nat = 12, ntyp = 2
/
ATOMIC_SPECIES
Cs 132.91 Cs.upf
Cu 63.55 Cu.upf
ATOMIC_POSITIONS angstrom
Cs -8.885 -0.825 0.907
Cs -3.693 -5.790 6.644
Cs -4.533 0.914 0.409
Cs -3.045 -1.630 4.524
Cs -8.238 3.334 -1.213
Cs -7.398 -3.369 5.023
Cu -6.550 -7.073 4.406
Cu -6.171 -0.457 3.612
Cu -1.239 -4.951 3.799
Cu -5.381 4.618 1.025
Cu -5.760 -1.998 1.820
Cu -10.691 2.496 1.633
CELL_PARAMETERS angstrom
-9.823 6.417 -4.300
-1.716 -11.029 5.621
-0.391 2.156 4.111
```

---

Entry from Alexandria: crystalline HoEr4Ni2 at its relaxed geometry (PBE). Values from VASP.

## Properties
Distance to the lowest polymorph of the same formula = 25 meV/atom
DFT formation energy = -148 meV/atom

```
&SYSTEM
  ibrav = 0, nat = 7, ntyp = 3
/
ATOMIC_SPECIES
Ho 164.93 Ho.upf
Er 167.26 Er.upf
Ni 58.69 Ni.upf
ATOMIC_POSITIONS angstrom
Ho 1.861 7.613 3.151
Er 3.579 13.386 4.387
Er 0.452 5.569 5.734
Er 0.144 1.839 1.914
Er 3.271 9.657 0.567
Ni 0.295 3.697 3.825
Ni 3.427 11.528 2.476
CELL_PARAMETERS angstrom
-2.346 1.411 2.742
1.197 0.156 3.682
4.871 13.659 -0.123
```

---

Entry from Alexandria: crystalline Rb2HgSbBr6 at its relaxed geometry (PBE). Values from VASP.

## Properties
Formation energy (no corrections) = -0.9905 eV/atom

```
&SYSTEM
  ibrav = 0, nat = 10, ntyp = 4
/
ATOMIC_SPECIES
Rb 85.47 Rb.upf
Hg 200.59 Hg.upf
Sb 121.76 Sb.upf
Br 79.90 Br.upf
ATOMIC_POSITIONS angstrom
Rb -11.994 -7.552 4.998
Rb -3.998 -2.517 1.666
Hg -7.996 -5.035 3.332
Sb 0.000 0.000 0.000
Br -8.035 -2.972 1.185
Br -6.259 -3.276 4.990
Br -7.957 -7.097 5.478
Br -5.579 -6.265 2.105
Br -10.413 -3.804 4.559
Br -9.733 -6.794 1.673
CELL_PARAMETERS angstrom
-8.072 -1.027 -0.839
-3.299 -7.426 0.948
-4.621 -1.617 6.554
```

---

Entry from Alexandria: crystalline K3Rb3TmBr8 at its relaxed geometry (PBE). Values from VASP.

## Properties
Formation energy (no corrections) = -1.6730 eV/atom

```
&SYSTEM
  ibrav = 0, nat = 15, ntyp = 4
/
ATOMIC_SPECIES
K 39.10 K.upf
Rb 85.47 Rb.upf
Tm 168.93 Tm.upf
Br 79.90 Br.upf
ATOMIC_POSITIONS angstrom
K -4.610 -3.024 -4.091
K -4.171 -2.486 0.667
K -3.719 1.911 2.557
Rb 0.000 0.000 0.000
Rb 0.440 0.538 4.757
Rb -0.012 -3.859 2.867
Tm -4.159 1.373 -2.200
Br -1.977 -0.967 2.721
Br -6.364 -4.005 -1.388
Br -2.695 -5.522 1.264
Br -5.646 0.550 0.069
Br -3.206 -6.146 -4.257
Br -5.135 1.174 5.590
Br -2.682 -1.044 -2.063
Br -5.659 -3.929 3.396
CELL_PARAMETERS angstrom
-0.903 -8.794 -3.780
0.880 1.075 9.514
-8.318 2.746 -4.401
```

---

Entry from Alexandria: crystalline BaCoAs2 at its relaxed geometry (PBE). Values from VASP.

## Properties
DFT formation energy = -491 meV/atom

```
&SYSTEM
  ibrav = 0, nat = 4, ntyp = 3
/
ATOMIC_SPECIES
As 74.92 As.upf
Ba 137.33 Ba.upf
Co 58.93 Co.upf
ATOMIC_POSITIONS angstrom
As -6.472 -2.986 -0.881
As -4.203 -2.007 -0.026
Ba -2.626 0.939 0.068
Co -6.185 -0.725 -0.234
CELL_PARAMETERS angstrom
-1.694 3.543 0.439
-3.270 -1.149 -3.349
-3.847 -2.180 2.745
```

---

Entry from Alexandria: crystalline Al2RuPt2 at its relaxed geometry (PBE). Values from VASP.

## Properties
Distance to the lowest polymorph of the same formula = 0 meV/atom
DFT formation energy = -605 meV/atom

```
&SYSTEM
  ibrav = 0, nat = 10, ntyp = 3
/
ATOMIC_SPECIES
Ru 101.07 Ru.upf
Al 26.98 Al.upf
Pt 195.08 Pt.upf
ATOMIC_POSITIONS angstrom
Ru 0.000 0.000 0.000
Ru 3.476 -0.978 -3.688
Al 5.965 0.070 -3.050
Al 4.501 -1.959 -6.074
Al 0.987 -2.027 -4.327
Al 2.451 0.002 -1.303
Pt 4.907 -0.732 -0.928
Pt 6.290 -2.155 -4.336
Pt 2.725 -3.615 -5.174
Pt 1.341 -2.192 -1.766
CELL_PARAMETERS angstrom
-0.127 -3.462 -6.425
7.079 1.505 -0.951
0.680 -2.390 1.274
```

---

Entry from Alexandria: crystalline Pm12Ho5Tl2 at its relaxed geometry (PBE). Values from VASP.

## Properties
DFT formation energy = 16 meV/atom

```
&SYSTEM
  ibrav = 0, nat = 19, ntyp = 3
/
ATOMIC_SPECIES
Pm 145.00 Pm.upf
Ho 164.93 Ho.upf
Tl 204.38 Tl.upf
ATOMIC_POSITIONS angstrom
Pm -1.836 -7.735 0.860
Pm 7.218 -4.760 1.622
Pm 2.663 -6.930 4.719
Pm 4.260 -5.060 -0.780
Pm 1.443 -6.402 1.135
Pm 4.777 -7.083 2.062
Pm -1.811 -2.896 4.286
Pm -1.295 -4.919 7.128
Pm 1.522 -3.577 5.213
Pm -4.253 -5.220 4.726
Pm 0.302 -3.049 1.629
Pm 4.801 -2.244 5.489
Ho 3.682 -3.986 2.623
Ho 6.030 -5.638 4.919
Ho 2.578 -0.600 3.372
Ho -3.065 -4.341 1.430
Ho -0.717 -5.993 3.725
Tl -4.939 -2.353 3.358
Tl -2.289 -1.091 1.557
CELL_PARAMETERS angstrom
-7.229 -3.444 4.915
5.037 -5.336 -5.311
5.157 -1.199 6.745
```

---

How do the records compare in calculated density? In the order shown, they have 8591, 10544, 6880, 7685, 3231, 3107, 8480, 4172, 3034, 5964, 12167, 7924 kg/m³.